## PdAu (PBE-GGA)

Data for a relaxed PdAu crystal.

Computed properties:
Crystal system: cubic
Space-group type: F-43m
E_form, eV/atom: 0.9109

abc: 4.238 4.238 4.238
angles: 60.00 60.00 60.00
Element x y z (fractional)
1 Au 0.000 0.000 0.000
2 Pd 0.250 0.250 0.250


## BaLaZnSe3 (PBE-GGA)

Data for a relaxed BaLaZnSe3 crystal.

Computed properties:
Crystal system: orthorhombic
E_tot, eV/atom: -4.60
Total magnetization, μB/atom: 0.003
Space-group type: Cmcm

abc: 7.363 7.363 11.261
angles: 90.00 90.00 144.54
Element x y z (fractional)
1 Se 0.070 0.930 0.750
2 Se 0.930 0.070 0.250
3 Se 0.362 0.638 0.924
4 Se 0.638 0.362 0.076
5 Se 0.362 0.638 0.576
6 Se 0.638 0.362 0.424
7 Ba 0.748 0.252 0.750
8 Ba 0.252 0.748 0.250
9 Zn 0.478 0.522 0.750
10 Zn 0.522 0.478 0.250
11 La 0.000 0.000 0.000
12 La 0.000 0.000 0.500


## SrBeAu (PBE-GGA)

Data for a relaxed SrBeAu crystal.

Computed properties:
Crystal system: cubic
E above lowest polymorph, eV/atom: 0.415
Space-group type: F-43m

abc: 5.037 5.037 5.037
angles: 60.00 60.00 60.00
Element x y z (fractional)
1 Au 0.250 0.250 0.250
2 Sr 0.000 0.000 0.000
3 Be 0.750 0.750 0.750


## Ag15As (PBE-GGA)

Data for a relaxed Ag15As crystal.

Computed properties:
Crystal system: monoclinic
E above lowest polymorph, eV/atom: 0.006
Space-group type: P2_1/m

abc: 5.747 2.890 43.415
angles: 90.00 90.07 90.00
Element x y z (fractional)
1 Ag 0.125 0.500 0.717
2 Ag 0.374 0.000 0.766
3 Ag 0.125 0.500 0.428
4 Ag 0.375 0.000 0.572
5 Ag 0.624 0.500 0.620
6 Ag 0.124 0.500 0.620
7 Ag 0.376 0.000 0.380
8 Ag 0.125 0.500 0.524
9 Ag 0.126 0.500 0.331
10 Ag 0.375 0.000 0.862
11 Ag 0.375 0.000 0.476
12 Ag 0.373 0.000 0.185
13 Ag 0.626 0.500 0.331
14 Ag 0.874 0.000 0.765
15 Ag 0.625 0.500 0.524
16 Ag 0.627 0.500 0.815
17 Ag 0.126 0.500 0.235
18 Ag 0.121 0.500 0.815
19 Ag 0.626 0.500 0.234
20 Ag 0.623 0.500 0.717
21 Ag 0.874 0.000 0.669
22 Ag 0.625 0.500 0.138
23 Ag 0.377 0.000 0.283
24 Ag 0.875 0.000 0.476
25 Ag 0.879 0.000 0.185
26 Ag 0.875 0.000 0.572
27 Ag 0.374 0.000 0.669
28 Ag 0.875 0.000 0.283
29 Ag 0.876 0.000 0.380
30 Ag 0.625 0.500 0.428
31 As 0.126 0.500 0.138
32 As 0.874 0.000 0.862


## HgPd3S6 (PBE-GGA)

Data for a relaxed HgPd3S6 crystal.

Computed properties:
Crystal system: orthorhombic
E_tot, eV/atom: -4.15
Space-group type: Cmmm

abc: 7.463 7.463 3.692
angles: 90.00 90.00 107.96
Element x y z (fractional)
1 S 0.673 0.924 0.000
2 S 0.664 0.336 0.500
3 S 0.336 0.664 0.500
4 S 0.924 0.673 0.000
5 S 0.076 0.327 0.000
6 S 0.327 0.076 0.000
7 Hg 0.500 0.500 0.000
8 Pd 0.500 0.000 0.500
9 Pd 0.000 0.500 0.500
10 Pd 0.000 0.000 0.000


## Sc2Si2Au (PBE-GGA)

Data for a relaxed Sc2Si2Au crystal.

Computed properties:
Crystal system: tetragonal
E_tot, eV/atom: -6.15
Total magnetization, μB/atom: 0.000
Space-group type: P4/mbm

abc: 6.588 6.588 4.069
angles: 90.00 90.00 90.00
Element x y z (fractional)
1 Sc 0.828 0.672 0.500
2 Sc 0.672 0.172 0.500
3 Sc 0.172 0.328 0.500
4 Sc 0.328 0.828 0.500
5 Si 0.873 0.373 0.000
6 Si 0.127 0.627 0.000
7 Si 0.373 0.127 0.000
8 Si 0.627 0.873 0.000
9 Au 0.000 0.000 0.000
10 Au 0.500 0.500 0.000